Crystalline DyMoO4 at its relaxed geometry, computed with GGA+U.

Electronic total energy   -7.670 eV per atom
Size of the total moment   4.00 Bohr magnetons per cell

a b c (Å): 7.274 7.274 6.706
angles (deg): 90.00 90.00 90.00
Space group I4_1/amd (No. 141, origin choice 2)
Asymmetric unit:
Dy1 0.000 0.250 0.375 x4
Mo1 0.000 0.250 0.875 x4
O1 0.000 0.063 0.686 x16